(1)
NaPmNb4N8: optimized geometry, PBE-GGA.

The formation energy (no corrections) comes out at -746 meV/atom.

Lattice parameters (Å, degrees): 6.560 6.560 6.560 58.28 58.28 58.28
Fractional coordinates of all 14 atoms:
Na  0.000  0.000  0.000
Pm  0.382  0.382  0.382
Nb  0.007  0.007  0.490
Nb  0.007  0.490  0.007
Nb  0.490  0.007  0.007
Nb  0.628  0.628  0.628
N  0.240  0.240  0.240
N  0.253  0.253  0.813
N  0.253  0.813  0.253
N  0.258  0.739  0.739
N  0.739  0.258  0.739
N  0.739  0.739  0.258
N  0.766  0.766  0.766
N  0.813  0.253  0.253

(2)
BaTi3Sb: optimized geometry, PBE-GGA.

The formation energy (no corrections) comes out at 1625 meV/atom. The calculation puts the density of states at the Fermi level at 3.81 states/eV/cell.

Lattice parameters (Å, degrees): 4.983 4.983 4.983 90.00 90.00 90.00
Fractional coordinates of all 5 atoms:
Ba  0.000  0.000  0.000
Ti  0.000  0.000  0.500
Ti  0.000  0.500  0.000
Ti  0.500  0.000  0.000
Sb  0.500  0.500  0.500

(3)
Cr2Ni2Pb: optimized geometry, PBE-GGA.

The total DFT energy (no corrections) is -6.502 eV/atom. The calculation puts the density of states at the Fermi level at 14.83 states/eV/cell.

Lattice parameters (Å, degrees): 7.005 7.005 3.038 90.00 90.00 90.00
Fractional coordinates of all 10 atoms:
Cr  0.157  0.343  0.000
Cr  0.343  0.843  0.000
Cr  0.657  0.157  0.000
Cr  0.843  0.657  0.000
Ni  0.128  0.628  0.500
Ni  0.372  0.128  0.500
Ni  0.628  0.872  0.500
Ni  0.872  0.372  0.500
Pb  0.000  0.000  0.500
Pb  0.500  0.500  0.500

(4)
Mg3RhF: optimized geometry, PBE-GGA.

The formation energy (no corrections) comes out at -1005 meV/atom. The calculation puts the density of states at the Fermi level at 1.59 states/eV/cell.

Lattice parameters (Å, degrees): 4.256 4.256 4.256 90.00 90.00 90.00
Fractional coordinates of all 5 atoms:
Mg  0.000  0.000  0.500
Mg  0.000  0.500  0.000
Mg  0.500  0.000  0.000
Rh  0.500  0.500  0.500
F  0.000  0.000  0.000

Please write out number 3 again, unchanged.
Cr2Ni2Pb: optimized geometry, PBE-GGA.

The total DFT energy (no corrections) is -6.502 eV/atom. The calculation puts the density of states at the Fermi level at 14.83 states/eV/cell.

Lattice parameters (Å, degrees): 7.005 7.005 3.038 90.00 90.00 90.00
Fractional coordinates of all 10 atoms:
Cr  0.157  0.343  0.000
Cr  0.343  0.843  0.000
Cr  0.657  0.157  0.000
Cr  0.843  0.657  0.000
Ni  0.128  0.628  0.500
Ni  0.372  0.128  0.500
Ni  0.628  0.872  0.500
Ni  0.872  0.372  0.500
Pb  0.000  0.000  0.500
Pb  0.500  0.500  0.500